{
  "formula": "NpP3S9",
  "functional": "PBE",
  "state": "optimized geometry",
  "lattice_angstrom": [[8.743, -4.115, 0.000], [8.743, 4.115, 0.000], [-7.666, 0.000, 9.085]],
  "species": ["Np", "Np", "P", "P", "P", "P", "P", "P", "S", "S", "S", "S", "S", "S", "S", "S", "S", "S", "S", "S", "S", "S", "S", "S", "S", "S"],
  "fractional_positions": [[0.237, 0.763, 0.500], [0.763, 0.237, 0.000], [0.070, 0.254, 0.844], [0.254, 0.070, 0.344], [0.276, 0.454, 0.686], [0.454, 0.276, 0.186], [0.657, 0.837, 0.223], [0.837, 0.657, 0.723], [0.072, 0.276, 0.253], [0.128, 0.953, 0.330], [0.172, 0.435, 0.057], [0.276, 0.072, 0.753], [0.318, 0.648, 0.706], [0.371, 0.438, 0.882], [0.435, 0.172, 0.557], [0.438, 0.371, 0.382], [0.460, 0.819, 0.242], [0.508, 0.983, 0.072], [0.575, 0.765, 0.580], [0.648, 0.318, 0.206], [0.765, 0.575, 0.080], [0.819, 0.460, 0.742], [0.835, 0.926, 0.420], [0.926, 0.835, 0.920], [0.953, 0.128, 0.830], [0.983, 0.508, 0.572]],
  "sg": "Cc",
  "dos_ef_per_ev_cell": 8.5,
  "e_tot_ev_per_atom": -5.395,
  "raw_formation_energy_mev_per_atom": -293.2
}

***

{
  "formula": "Mg6ZrW",
  "functional": "PBE",
  "state": "optimized geometry",
  "lattice_angstrom": [[4.935, 0.000, 0.000], [0.000, 3.048, 5.561], [0.000, -3.048, 5.561]],
  "species": ["Mg", "Mg", "Mg", "Mg", "Mg", "Mg", "Zr", "W"],
  "fractional_positions": [[0.000, 0.000, 0.000], [0.000, 0.485, 0.997], [0.000, 0.997, 0.485], [0.500, 0.351, 0.844], [0.500, 0.844, 0.351], [0.500, 0.845, 0.845], [0.000, 0.470, 0.470], [0.500, 0.367, 0.367]],
  "sg": "Amm2",
  "relative_energy_ev_per_atom": 0.0000,
  "dos_ef_per_ev_cell": 3.7,
  "ef_ev_per_fu": 1.8,
  "e_tot_ev_per_atom": -3.660
}

***

{
  "formula": "Y2CrCd",
  "functional": "PBE",
  "state": "optimized geometry",
  "lattice_angstrom": [[4.997, -1.768, 0.000], [4.997, 1.768, 0.000], [-1.275, 0.000, 5.928]],
  "species": ["Y", "Y", "Cr", "Cd"],
  "fractional_positions": [[0.248, 0.248, 0.242], [0.752, 0.752, 0.758], [0.500, 0.500, 0.000], [0.000, 0.000, 0.500]],
  "sg": "C2/m",
  "dos_ef_per_ev_cell": 3.4,
  "ef_ev_per_fu": 1.1,
  "e_tot_ev_per_atom": -5.598
}

***

{
  "formula": "Pa3Fe2C3",
  "functional": "PBE",
  "state": "optimized geometry",
  "lattice_angstrom": [[1.761, -5.044, 0.000], [1.761, 5.044, 0.000], [0.000, 0.000, 12.221]],
  "species": ["Pa", "Pa", "Pa", "Pa", "Pa", "Pa", "Fe", "Fe", "Fe", "Fe", "C", "C", "C", "C", "C", "C"],
  "fractional_positions": [[0.086, 0.914, 0.603], [0.086, 0.914, 0.897], [0.380, 0.620, 0.750], [0.620, 0.380, 0.250], [0.914, 0.086, 0.103], [0.914, 0.086, 0.397], [0.215, 0.785, 0.103], [0.215, 0.785, 0.397], [0.785, 0.215, 0.603], [0.785, 0.215, 0.897], [0.322, 0.678, 0.250], [0.353, 0.647, 0.540], [0.353, 0.647, 0.960], [0.647, 0.353, 0.040], [0.647, 0.353, 0.460], [0.678, 0.322, 0.750]],
  "sg": "Cmcm",
  "dos_ef_per_ev_cell": 13.9,
  "ef_ev_per_fu": -0.3,
  "e_tot_ev_per_atom": -9.178
}

***

{
  "formula": "SmTmZnSi",
  "functional": "PBE",
  "state": "optimized geometry",
  "lattice_angstrom": [[4.057, 0.000, 0.000], [0.000, 2.089, 5.469], [0.000, -2.089, 5.469]],
  "species": ["Sm", "Tm", "Zn", "Si"],
  "fractional_positions": [[0.000, 0.000, 0.000], [0.500, 0.284, 0.284], [0.500, 0.578, 0.578], [0.000, 0.720, 0.720]],
  "sg": "Amm2",
  "relative_energy_ev_per_atom": 0.0000,
  "dos_ef_per_ev_cell": 3.9,
  "e_tot_ev_per_atom": -4.519,
  "raw_formation_energy_mev_per_atom": -546.7
}

***

{
  "formula": "Ba2Tl6InGa",
  "functional": "PBE",
  "state": "optimized geometry",
  "lattice_angstrom": [[3.885, 2.243, 13.231], [-3.885, 2.243, 13.231], [0.000, -4.486, 13.231]],
  "species": ["Ba", "Ba", "Ba", "Ba", "Tl", "Tl", "Tl", "Tl", "Tl", "Tl", "Tl", "Tl", "Tl", "Tl", "Tl", "Tl", "In", "In", "Ga", "Ga"],
  "fractional_positions": [[0.107, 0.107, 0.107], [0.282, 0.282, 0.282], [0.718, 0.718, 0.718], [0.893, 0.893, 0.893], [0.080, 0.663, 0.663], [0.221, 0.221, 0.654], [0.221, 0.654, 0.221], [0.337, 0.337, 0.920], [0.337, 0.920, 0.337], [0.346, 0.779, 0.779], [0.654, 0.221, 0.221], [0.663, 0.080, 0.663], [0.663, 0.663, 0.080], [0.779, 0.346, 0.779], [0.779, 0.779, 0.346], [0.920, 0.337, 0.337], [0.426, 0.426, 0.426], [0.574, 0.574, 0.574], [0.000, 0.000, 0.000], [0.500, 0.500, 0.500]],
  "sg": "R-3m",
  "dos_ef_per_ev_cell": 9.5,
  "ef_ev_per_fu": -1.5,
  "e_tot_ev_per_atom": -2.526
}